Material: LaGaSiRh6
Method: DFT, PBE
State: optimized geometry

a b c (Å): 6.1863 9.1410 7.8944
angles (deg): 125.38 113.07 90.00
With the nearest neighbours (Å) after each atom.
Fractional positions:
La 0.8222 0.5722 0.6443  6 Rh 2.79-2.88
La 0.1778 0.4278 0.3557  6 Rh 2.79-2.88
Ga 0.5000 0.0000 0.5000  6 Rh 2.49-2.56
Ga 0.0000 0.0000 0.5000  6 Rh 2.49-2.56
Si 0.5000 0.5000 0.0000  6 Rh 2.27-2.44
Si 0.5000 0.0000 0.0000  6 Rh 2.27-2.44
Rh 0.4250 0.6750 0.8501  2 Si 2.44
Rh 0.9224 0.1724 0.8448  2 Ga 2.49, 4 Rh 2.65
Rh 0.9082 0.1197 0.2635  1 Si 2.27
Rh 0.3553 0.6438 0.2635  1 Si 2.27
Rh 0.3553 0.1197 0.2635  1 Si 2.27
Rh 0.9082 0.6438 0.2635  1 Si 2.27
Rh 0.5750 0.3250 0.1499  2 Si 2.44
Rh 0.0776 0.8276 0.1552  2 Ga 2.49, 4 Rh 2.65
Rh 0.0918 0.8803 0.7365  1 Si 2.27
Rh 0.6447 0.3562 0.7365  1 Si 2.27
Rh 0.6447 0.8803 0.7365  1 Si 2.27
Rh 0.0918 0.3562 0.7365  1 Si 2.27

Total magnetic moment in μB/cell: 0.00
Uncorrected energy in eV per cell: -118.774
Crystal system: orthorhombic
Formation energy from raw total energies in meV per atom: -211

***

Material: MnNiMo2
Method: DFT, PBE
State: optimized geometry

a b c (Å): 4.6239 4.6239 4.7109
angles (deg): 81.20 81.20 33.35
With the nearest neighbours (Å) after each atom.
Fractional positions:
Mn 0.2400 0.2400 0.2473  7 Mo 2.57-2.79, 3 Ni 2.60-2.82, 2 Mn 2.65
Mo 0.9941 0.9941 0.0235  3 Mn 2.57-2.68, 3 Mo 2.65-2.70, 4 Ni 2.66-2.75
Mo 0.7601 0.7601 0.7208  3 Ni 2.61, 4 Mn 2.63-2.79, 5 Mo 2.65-2.88
Ni 0.5058 0.5058 0.5083  3 Mn 2.60-2.82, 7 Mo 2.61-2.75, 2 Ni 2.65

Total magnetic moment in μB/cell: 1.85
Uncorrected energy in eV per cell: -36.065
Energy of formation from the pure elements in meV per atom: 136.9
Crystal system: monoclinic

***

Material: RbLiSb3
Method: DFT, PBE
State: optimized geometry

a b c (Å): 6.1154 6.1154 6.1154
angles (deg): 90.00 90.00 90.00
With the nearest neighbours (Å) after each atom.
Fractional positions:
Sb 0.0000 0.5000 0.0000  2 Rb 3.06
Sb 0.0000 0.0000 0.5000  2 Rb 3.06
Sb 0.5000 0.0000 0.0000  2 Rb 3.06
Rb 0.0000 0.0000 0.0000  6 Sb 3.06
Li 0.5000 0.5000 0.5000  12 Sb 4.32

Total magnetic moment in μB/cell: 0.00
Uncorrected energy in eV per cell: -9.580
Crystal system: cubic
Formation energy from raw total energies in meV per atom: 1134

***

Material: LaSm2Fe
Method: DFT, PBE
State: optimized geometry

a b c (Å): 3.5654 3.5654 11.0084
angles (deg): 80.68 80.68 60.00
With the nearest neighbours (Å) after each atom.
Fractional positions:
Fe 0.5000 0.5000 0.5000  6 Sm 2.78
Sm 0.1091 0.1091 0.6727  3 Fe 2.78
Sm 0.8909 0.8909 0.3273  3 Fe 2.78
La 0.0000 0.0000 0.0000  2 Sm 3.54, 6 La 3.57

Total magnetic moment in μB/cell: 1.02
Uncorrected energy in eV per cell: -21.511
Energy of formation from the pure elements in meV per atom: 329.3
Crystal system: trigonal

***

Q: total magnetic moment of number 4 (LaSm2Fe)?
A: 1.02 μB/cell

***

Q: Which formula does entry 2 have?
A: MnNiMo2